[1]
{"formula": "Ac3Sm3TlHg2", "functional": "PBE", "state": "optimized geometry", "delta_e_f_mev_per_atom": -184, "magmom_total_mub_per_cell": 0.000, "total_energy_ev_per_atom": -3.46, "mass_density_g_cm3": 9.468, "vol_a3_per_atom": 33.9, "lattice": [[-0.836, -3.808, -1.055], [3.985, -3.054, 7.869], [-9.108, 2.036, -0.133]], "species": ["Ac", "Ac", "Ac", "Sm", "Sm", "Sm", "Tl", "Hg", "Hg"], "fractional_positions": [[0.500, 0.712, 0.000], [0.500, 0.000, 0.712], [0.500, 0.288, 0.288], [0.000, 0.611, 0.611], [0.000, 0.000, 0.389], [0.000, 0.389, 0.000], [0.000, 0.000, 0.000], [0.500, 0.667, 0.333], [0.500, 0.333, 0.667]]}

---

[2]
{"formula": "AcSmTmHg", "functional": "PBE", "state": "optimized geometry", "delta_e_f_mev_per_atom": 54, "magmom_total_mub_per_cell": 0.000, "total_energy_ev_per_atom": -3.35, "mass_density_g_cm3": 10.046, "vol_a3_per_atom": 30.9, "lattice": [[5.589, 0.000, 0.000], [2.795, 4.840, 0.000], [2.795, 1.613, 4.563]], "species": ["Ac", "Tm", "Hg", "Sm"], "fractional_positions": [[0.750, 0.750, 0.750], [0.000, 0.000, 0.000], [0.250, 0.250, 0.250], [0.500, 0.500, 0.500]]}

---

[3]
{"formula": "AcSmZnHg", "functional": "PBE", "state": "optimized geometry", "delta_e_f_mev_per_atom": -330, "magmom_total_mub_per_cell": 0.579, "total_energy_ev_per_atom": -2.93, "mass_density_g_cm3": 9.243, "vol_a3_per_atom": 28.9, "lattice": [[5.468, 0.000, 0.000], [2.734, 4.735, 0.000], [2.734, 1.578, 4.464]], "species": ["Zn", "Ac", "Hg", "Sm"], "fractional_positions": [[0.000, 0.000, 0.000], [0.750, 0.750, 0.750], [0.500, 0.500, 0.500], [0.250, 0.250, 0.250]]}

---

[4]
{"formula": "AcSmZnHg", "functional": "PBE", "state": "optimized geometry", "delta_e_f_mev_per_atom": -369, "magmom_total_mub_per_cell": 0.000, "total_energy_ev_per_atom": -2.97, "mass_density_g_cm3": 9.402, "vol_a3_per_atom": 28.4, "lattice": [[-3.765, -0.015, 0.685], [-0.238, -3.559, -1.387], [1.302, -2.852, 7.095]], "species": ["Ac", "Sm", "Zn", "Hg"], "fractional_positions": [[0.500, 0.500, 0.122], [0.500, 0.500, 0.592], [0.000, 0.000, 0.385], [0.000, 0.000, 0.829]]}

---

[5]
{"formula": "Ac3Sn2Hg8", "functional": "PBE", "state": "optimized geometry", "delta_e_f_mev_per_atom": -203, "magmom_total_mub_per_cell": 0.000, "total_energy_ev_per_atom": -1.95, "mass_density_g_cm3": 10.615, "vol_a3_per_atom": 30.4, "lattice": [[-1.377, -1.240, 5.985], [-4.804, -3.774, 1.393], [5.064, -10.835, 2.200]], "species": ["Ac", "Ac", "Ac", "Sn", "Sn", "Hg", "Hg", "Hg", "Hg", "Hg", "Hg", "Hg", "Hg"], "fractional_positions": [[0.000, 0.000, 0.000], [0.812, 0.812, 0.565], [0.188, 0.188, 0.435], [0.634, 0.634, 0.099], [0.366, 0.366, 0.901], [0.717, 0.717, 0.848], [0.283, 0.283, 0.152], [0.228, 0.730, 0.311], [0.730, 0.228, 0.311], [0.730, 0.730, 0.311], [0.270, 0.772, 0.689], [0.772, 0.270, 0.689], [0.270, 0.270, 0.689]]}

---

[6]
{"formula": "Ac4SnHg", "functional": "PBE", "state": "optimized geometry", "delta_e_f_mev_per_atom": -257, "magmom_total_mub_per_cell": 0.000, "total_energy_ev_per_atom": -3.71, "mass_density_g_cm3": 8.219, "vol_a3_per_atom": 41.3, "lattice": [[-5.248, -0.343, 1.870], [0.987, -5.184, 1.819], [2.316, 2.908, 7.038]], "species": ["Ac", "Ac", "Ac", "Ac", "Sn", "Hg"], "fractional_positions": [[0.501, 0.997, 0.256], [0.501, 0.997, 0.740], [0.001, 0.497, 0.740], [0.001, 0.497, 0.256], [0.501, 0.497, 0.998], [0.001, 0.997, 0.498]]}

---

[7]
{"formula": "Ac6Sn5Hg", "functional": "PBE", "state": "optimized geometry", "delta_e_f_mev_per_atom": -595, "magmom_total_mub_per_cell": 0.000, "total_energy_ev_per_atom": -4.34, "mass_density_g_cm3": 8.774, "vol_a3_per_atom": 34.0, "lattice": [[5.272, 1.649, 0.000], [2.609, 10.181, 0.000], [1.305, 5.090, 8.265]], "species": ["Ac", "Ac", "Ac", "Ac", "Ac", "Ac", "Sn", "Sn", "Sn", "Sn", "Sn", "Hg"], "fractional_positions": [[0.753, 0.078, 0.338], [0.247, 0.584, 0.338], [0.254, 0.246, 0.000], [0.746, 0.754, 0.000], [0.753, 0.416, 0.662], [0.247, 0.922, 0.662], [0.500, 0.165, 0.669], [0.000, 0.338, 0.324], [0.500, 0.500, 0.000], [0.000, 0.662, 0.676], [0.500, 0.835, 0.331], [0.000, 0.000, 0.000]]}

---

[8]
{"formula": "Ac3Sn2Hg6", "functional": "PBE", "state": "optimized geometry", "delta_e_f_mev_per_atom": -351, "magmom_total_mub_per_cell": 0.000, "total_energy_ev_per_atom": -2.36, "mass_density_g_cm3": 10.086, "vol_a3_per_atom": 31.8, "lattice": [[-1.438, 4.241, 0.996], [-3.883, -0.772, -2.318], [-4.486, -7.414, 14.524]], "species": ["Ac", "Ac", "Ac", "Sn", "Sn", "Hg", "Hg", "Hg", "Hg", "Hg", "Hg"], "fractional_positions": [[0.000, 0.000, 0.000], [0.830, 0.830, 0.660], [0.170, 0.170, 0.340], [0.362, 0.362, 0.723], [0.638, 0.638, 0.277], [0.075, 0.575, 0.149], [0.575, 0.075, 0.149], [0.925, 0.425, 0.851], [0.425, 0.925, 0.851], [0.730, 0.730, 0.459], [0.270, 0.270, 0.541]]}